# NiSOF2, optimized geometry, DFT PBE with a Hubbard U
data_NiSOF2
_chemical_formula_sum 'Ni1 S1 O1 F2'
_symmetry_space_group_name_H-M 'P 4/m m m'
_symmetry_Int_Tables_number 123
_symmetry_space_group_name_Hall '-P 4 2'
_cell_length_a 4.4725
_cell_length_b 4.4725
_cell_length_c 3.4215
_cell_angle_alpha 90.00
_cell_angle_beta 90.00
_cell_angle_gamma 90.00
loop_
_atom_site_label
_atom_site_type_symbol
_atom_site_fract_x
_atom_site_fract_y
_atom_site_fract_z
Ni1 Ni 0.0000 0.0000 0.0000
S1 S 0.5000 0.5000 0.5000
O1 O 0.5000 0.5000 0.0000
F1 F 0.0000 0.5000 0.5000
# offset from the most stable computed form = 0.343 eV per atom